1.
## PaTiH2O6 (GGA-PBE)

Data for a relaxed structure of PaTiH2O6.

The structure in POSCAR format:
```
PaTiH2O6
1.0
5.186 -0.190 0.094
-2.761 4.787 -0.155
-2.427 -1.602 4.872
Pa Ti H O
1 1 2 6
Direct
0.997 0.498 0.480
0.997 0.998 0.980
0.604 0.706 0.186
0.389 0.290 0.774
0.531 0.874 0.733
0.462 0.122 0.228
0.828 0.755 0.214
0.103 0.354 0.204
0.890 0.641 0.757
0.165 0.240 0.747
```

Values from the calculation:
N(E_F): 0.418 states/eV/atom
Total energy: -7.675 eV per atom

---

2.
## PaTlHO4 (GGA-PBE)

Data for a relaxed structure of PaTlHO4.

The structure in POSCAR format:
```
PaTlHO4
1.0
6.473 0.000 0.000
3.236 6.653 0.691
3.236 2.685 6.126
Pa Tl H O
2 2 2 8
Direct
0.000 0.000 0.000
0.000 0.500 0.500
0.500 0.000 0.500
0.000 0.000 0.500
0.795 0.455 0.955
0.205 0.545 0.045
0.812 0.623 0.754
0.188 0.746 0.877
0.812 0.254 0.123
0.188 0.377 0.246
0.176 0.780 0.280
0.764 0.780 0.280
0.236 0.220 0.720
0.824 0.220 0.720
```

Values from the calculation:
N(E_F): 0.216 states/eV/atom
Total energy: -6.899 eV per atom

---

3.
## Pa2TlHO5 (GGA-PBE)

Data for a relaxed structure of Pa2TlHO5.

The structure in POSCAR format:
```
Pa2TlHO5
1.0
4.308 0.000 0.000
0.000 4.308 0.000
0.000 0.000 8.866
Pa Tl H O
2 1 1 5
Direct
0.000 0.000 0.251
0.000 0.000 0.749
0.500 0.500 0.500
0.000 0.000 0.000
0.000 0.000 0.500
0.000 0.500 0.749
0.500 0.000 0.251
0.000 0.500 0.251
0.500 0.000 0.749
```

Values from the calculation:
N(E_F): 0.000 states/eV/atom
Total energy: -8.121 eV per atom